Entry 1:
The following is a PBE calculation of an optimized crystal structure of CsK2Pd, from Alexandria via LeMat-Bulk.

a b c (Å): 4.3662 4.3662 43.7924
angles (deg): 90.00 90.00 120.00
Closest atoms and distances in Å follow each position.
Positions (direct):
Cs  0.0000  0.0000  0.0000  6 Cs 4.37
Cs  0.3333  0.6667  0.6667  6 Cs 4.37
Cs  0.6667  0.3333  0.3333  6 Cs 4.37
K  0.0000  0.0000  0.4342  1 Pd 2.88
K  0.0000  0.0000  0.5658  1 Pd 2.88
K  0.3333  0.6667  0.1008  1 Pd 2.88
K  0.3333  0.6667  0.2325  1 Pd 2.88
K  0.6667  0.3333  0.7675  1 Pd 2.88
K  0.6667  0.3333  0.8992  1 Pd 2.88
Pd  0.0000  0.0000  0.5000  2 K 2.88
Pd  0.3333  0.6667  0.1667  2 K 2.88
Pd  0.6667  0.3333  0.8333  2 K 2.88

Summary:
- E above lowest polymorph (meV/atom) = 414
- symmetry = R-3m

---

Entry 2:
The following is a PBE calculation of an optimized crystal structure of Cs4K3Pd, from Alexandria via LeMat-Bulk.

a b c (Å): 11.0142 13.3309 9.3751
angles (deg): 90.00 90.00 90.00
Closest atoms and distances in Å follow each position.
Positions (direct):
Cs  0.0469  0.2500  0.2167  1 Pd 3.31
Cs  0.2500  0.5759  0.4635  1 Pd 3.42
Cs  0.2500  0.9241  0.4635  1 Pd 3.42
Cs  0.4531  0.2500  0.2167  1 Pd 3.31
Cs  0.5469  0.7500  0.7833  1 Pd 3.31
Cs  0.7500  0.0759  0.5365  1 Pd 3.42
Cs  0.7500  0.4241  0.5365  1 Pd 3.42
Cs  0.9531  0.7500  0.7833  1 Pd 3.31
K  0.2500  0.2500  0.7300  2 K 4.70, 4 Cs 5.01-5.08
K  0.2500  0.5630  0.9616  1 Pd 3.30
K  0.2500  0.9370  0.9616  1 Pd 3.30
K  0.7500  0.0630  0.0384  1 Pd 3.30
K  0.7500  0.4370  0.0384  1 Pd 3.30
K  0.7500  0.7500  0.2700  2 K 4.70, 4 Cs 5.01-5.08
Pd  0.2500  0.7500  0.7309  2 K 3.30, 4 Cs 3.31-3.42
Pd  0.7500  0.2500  0.2691  2 K 3.30, 4 Cs 3.31-3.42

Summary:
- symmetry = Pmmn

---

Entry 3:
The following is a PBE calculation of an optimized crystal structure of CsK4Pd, from Alexandria via LeMat-Bulk.

a b c (Å): 12.7992 12.7992 7.2527
angles (deg): 106.44 106.44 42.25
Closest atoms and distances in Å follow each position.
Positions (direct):
Cs  0.2144  0.2144  0.2150  12 K 4.95-5.30
Cs  0.7856  0.7856  0.7850  12 K 4.95-5.30
K  0.1685  0.6496  0.4085  2 Pd 3.33
K  0.2250  0.7750  0.0000  2 Pd 3.40
K  0.3504  0.8315  0.5915  2 Pd 3.33
K  0.3744  0.3744  0.8739  2 Pd 3.64-3.65, 2 K 3.82
K  0.6256  0.6256  0.1261  2 Pd 3.64-3.65, 2 K 3.82
K  0.6496  0.1685  0.4085  2 Pd 3.33
K  0.7750  0.2250  0.0000  2 Pd 3.40
K  0.8315  0.3504  0.5915  2 Pd 3.33
Pd  0.5001  0.5001  0.3121  1 Pd 2.73
Pd  0.4999  0.4999  0.6879  1 Pd 2.73

Summary:
- symmetry = C2/m

---

no.,formation energy (eV/atom),V (Å³ per atom),VASP energy (eV/atom)
1,0.529,60.251,-1.532
2,0.064,86.034,-1.424
3,0.035,63.434,-1.704